w) A geometry-optimized CaTl2NiTe structure. Source: Alexandria, functional GGA-PBE.

Cell lengths 5.0440, 5.0440, 5.5134 Å; angles 90.00, 90.00, 90.00 degrees
Last column: nearest neighbours and their distance in Å.
Space group P4/mmm (No. 123)
Inequivalent atoms, fractional coordinates:
Ca1 0.0000 0.0000 0.0000  2 Ni 2.76
Tl1 0.0000 0.5000 0.5000  2 Ni 2.52
Ni1 0.0000 0.0000 0.5000  4 Tl 2.52, 2 Ca 2.76
Te1 0.5000 0.5000 0.0000  4 Ca 3.57, 8 Tl 3.74

Values from the calculation:
**Volume**: 140.3 Å³ per cell
**Total magnetization**: 0.00 μB per atom

=====

x) A geometry-optimized CaTl2NiTe structure. Source: Alexandria, functional GGA-PBE.

Cell lengths 6.0205, 6.0205, 4.7426 Å; angles 90.00, 90.00, 90.00 degrees
Last column: nearest neighbours and their distance in Å.
Space group P4/mmm (No. 123)
Inequivalent atoms, fractional coordinates:
Ca1 0.0000 0.0000 0.0000  2 Ni 2.37
Tl1 0.0000 0.5000 0.0000  2 Ca 3.01
Ni1 0.0000 0.0000 0.5000  2 Ca 2.37
Te1 0.5000 0.5000 0.5000  8 Tl 3.83, 4 Ni 4.26

Values from the calculation:
**Volume**: 171.9 Å³ per cell
**Total magnetization**: 0.00 μB per atom

=====

Which structure wins on stability? w) wins.

=====

w) A geometry-optimized CaTi2Ni structure. Source: Alexandria, functional GGA-PBE.

Cell lengths 6.5277, 6.5277, 6.5277 Å; angles 90.00, 90.00, 90.00 degrees
Last column: nearest neighbours and their distance in Å.
Space group Fm-3m (No. 225)
Inequivalent atoms, fractional coordinates:
Ca1 0.0000 0.0000 0.0000  8 Ti 2.83
Ti1 0.2500 0.2500 0.2500  4 Ni 2.83, 4 Ca 2.83
Ni1 0.0000 0.0000 0.5000  8 Ti 2.83

Values from the calculation:
**Volume**: 278.2 Å³ per cell
**Total magnetization**: 0.01 μB per atom

=====

x) A geometry-optimized CaTi2Ni structure. Source: Alexandria, functional GGA-PBE.

Cell lengths 4.6303, 4.6303, 17.5869 Å; angles 90.00, 90.00, 90.00 degrees
Last column: nearest neighbours and their distance in Å.
Space group I-42d (No. 122)
Inequivalent atoms, fractional coordinates:
Ca1 0.0000 0.0000 0.0000  4 Ni 3.27, 8 Ti 3.33-3.46
Ti1 0.0197 0.2500 0.6250  2 Ti 2.32, 2 Ni 2.49
Ni1 0.0000 0.0000 0.5000  4 Ti 2.49

Values from the calculation:
**Volume**: 377.1 Å³ per cell
**Total magnetization**: 0.00 μB per atom

=====

Which structure wins on stability? w) wins.

=====

w) A geometry-optimized CaTi2Ni2 structure. Source: Alexandria, functional GGA-PBE.

Cell lengths 4.2449, 4.2449, 9.9114 Å; angles 90.00, 90.00, 90.00 degrees
Last column: nearest neighbours and their distance in Å.
Space group I4/mmm (No. 139)
Inequivalent atoms, fractional coordinates:
Ca1 0.0000 0.0000 0.0000  8 Ni 3.23, 8 Ti 3.26
Ti1 0.0000 0.5000 0.2500  4 Ni 2.48
Ni1 0.0000 0.0000 0.3792  1 Ni 2.40, 4 Ti 2.48

Values from the calculation:
**Volume**: 178.6 Å³ per cell
**Total magnetization**: 0.00 μB per atom

=====

x) A geometry-optimized CaTi2Ni2 structure. Source: Alexandria, functional GGA-PBE.

Cell lengths 4.4348, 4.4348, 9.6374 Å; angles 90.00, 90.00, 90.00 degrees
Last column: nearest neighbours and their distance in Å.
Space group I4/mmm (No. 139)
Inequivalent atoms, fractional coordinates:
Ca1 0.0000 0.0000 0.0000  8 Ni 3.27, 10 Ti 3.37-3.45
Ti1 0.0000 0.0000 0.3495  4 Ni 2.42
Ni1 0.0000 0.5000 0.2500  4 Ti 2.42

Values from the calculation:
**Volume**: 189.5 Å³ per cell
**Total magnetization**: 0.31 μB per atom

=====

y) A geometry-optimized CaTi2Ni2 structure. Source: Alexandria, functional GGA-PBE.

Cell lengths 7.4785, 7.4785, 3.0052 Å; angles 90.00, 90.00, 90.00 degrees
Last column: nearest neighbours and their distance in Å.
Space group P4/mbm (No. 127)
Inequivalent atoms, fractional coordinates:
Ca1 0.0000 0.0000 0.0000  4 Ni 2.96, 2 Ca 3.01, 8 Ti 3.22
Ti1 0.1507 0.3493 0.5000  6 Ni 2.56-2.81
Ni1 0.1244 0.6244 0.0000  6 Ti 2.56-2.81, 1 Ni 2.63

Values from the calculation:
**Volume**: 168.1 Å³ per cell
**Total magnetization**: 0.00 μB per atom

=====

z) A geometry-optimized CaTi2Ni2 structure. Source: Alexandria, functional GGA-PBE.

Cell lengths 7.6841, 7.6841, 2.7351 Å; angles 90.00, 90.00, 90.00 degrees
Last column: nearest neighbours and their distance in Å.
Space group P4/mbm (No. 127)
Inequivalent atoms, fractional coordinates:
Ca1 0.0000 0.0000 0.0000  2 Ca 2.74, 4 Ti 2.98
Ti1 0.1382 0.3618 0.0000  6 Ni 2.63-2.64, 2 Ti 2.74
Ni1 0.1537 0.6537 0.5000  6 Ti 2.63-2.64, 2 Ni 2.74

Values from the calculation:
**Volume**: 161.5 Å³ per cell
**Total magnetization**: 0.12 μB per atom

=====

Which structure wins on stability? w) wins.

=====

w) A geometry-optimized Ca2TiNi structure. Source: Alexandria, functional GGA-PBE.

Cell lengths 7.2782, 7.2782, 7.2782 Å; angles 90.00, 90.00, 90.00 degrees
Last column: nearest neighbours and their distance in Å.
Space group Fm-3m (No. 225)
Inequivalent atoms, fractional coordinates:
Ca1 0.2500 0.2500 0.2500  4 Ni 3.15, 4 Ti 3.15
Ti1 0.0000 0.0000 0.0000  8 Ca 3.15
Ni1 0.0000 0.0000 0.5000  8 Ca 3.15

Values from the calculation:
**Volume**: 385.5 Å³ per cell
**Total magnetization**: 0.86 μB per atom

=====

x) A geometry-optimized Ca2TiNi structure. Source: Alexandria, functional GGA-PBE.

Cell lengths 10.3922, 10.3922, 4.5450 Å; angles 90.00, 90.00, 90.00 degrees
Last column: nearest neighbours and their distance in Å.
Space group I-42d (No. 122)
Inequivalent atoms, fractional coordinates:
Ca1 0.0957 0.2500 0.1250  2 Ni 2.84
Ti1 0.0000 0.0000 0.5000  2 Ni 2.27
Ni1 0.0000 0.0000 0.0000  2 Ti 2.27

Values from the calculation:
**Volume**: 490.9 Å³ per cell
**Total magnetization**: 0.27 μB per atom

=====

Which structure wins on stability? x) wins.

=====

w) A geometry-optimized Ca3TiNi structure. Source: Alexandria, functional GGA-PBE.

Cell lengths 5.6668, 5.6668, 5.6668 Å; angles 90.00, 90.00, 90.00 degrees
Last column: nearest neighbours and their distance in Å.
Space group Pm-3m (No. 221)
Inequivalent atoms, fractional coordinates:
Ca1 0.0000 0.0000 0.5000  2 Ti 2.83
Ti1 0.0000 0.0000 0.0000  6 Ca 2.83
Ni1 0.5000 0.5000 0.5000  12 Ca 4.01

Values from the calculation:
**Volume**: 182.0 Å³ per cell
**Total magnetization**: 0.89 μB per atom

=====

x) A geometry-optimized Ca3TiNi structure. Source: Alexandria, functional GGA-PBE.

Cell lengths 5.3860, 5.3860, 5.3860 Å; angles 90.00, 90.00, 90.00 degrees
Last column: nearest neighbours and their distance in Å.
Space group Pm-3m (No. 221)
Inequivalent atoms, fractional coordinates:
Ca1 0.0000 0.0000 0.5000  2 Ni 2.69
Ti1 0.5000 0.5000 0.5000  12 Ca 3.81
Ni1 0.0000 0.0000 0.0000  6 Ca 2.69

Values from the calculation:
**Volume**: 156.2 Å³ per cell
**Total magnetization**: 0.65 μB per atom

=====

Which structure wins on stability? x) wins.

=====

w) A geometry-optimized CaTiNi2 structure. Source: Alexandria, functional GGA-PBE.

Cell lengths 6.9914, 6.9914, 5.9578 Å; angles 90.00, 90.00, 90.00 degrees
Last column: nearest neighbours and their distance in Å.
Space group I-42d (No. 122)
Inequivalent atoms, fractional coordinates:
Ca1 0.0000 0.0000 0.0000  8 Ni 2.85-3.15, 2 Ti 2.98
Ti1 0.0000 0.0000 0.5000  4 Ni 2.35
Ni1 0.1969 0.2500 0.6250  2 Ti 2.35

Values from the calculation:
**Volume**: 291.2 Å³ per cell
**Total magnetization**: 0.00 μB per atom

=====

x) A geometry-optimized CaTiNi2 structure. Source: Alexandria, functional GGA-PBE.

Cell lengths 3.1102, 3.1102, 6.8721 Å; angles 90.00, 90.00, 90.00 degrees
Last column: nearest neighbours and their distance in Å.
Space group P4/mmm (No. 123)
Inequivalent atoms, fractional coordinates:
Ca1 0.0000 0.0000 0.0000  8 Ni 3.07, 4 Ca 3.11, 2 Ti 3.44
Ti1 0.0000 0.0000 0.5000  8 Ni 2.55
Ni1 0.5000 0.5000 0.3126  4 Ti 2.55, 1 Ni 2.58

Values from the calculation:
**Volume**: 66.5 Å³ per cell
**Total magnetization**: 0.00 μB per atom

=====

Which structure wins on stability? x) wins.

=====

w) A geometry-optimized Ca4TlNi structure. Source: Alexandria, functional GGA-PBE.

Cell lengths 9.1864, 13.8209, 6.0174 Å; angles 90.00, 109.62, 90.00 degrees
Last column: nearest neighbours and their distance in Å.
Space group C2/c (No. 15)
Inequivalent atoms, fractional coordinates:
Ca1 0.1128 0.1685 0.0589  2 Ni 2.93-2.95
Ca2 0.2106 0.4259 0.3570  2 Ni 3.08-3.12, 1 Tl 3.37
Tl1 0.0000 0.3689 0.7500  10 Ca 3.30-3.61
Ni1 0.0000 0.0010 0.2500  8 Ca 2.93-3.12, 2 Ni 3.01

Values from the calculation:
**Volume**: 719.6 Å³ per cell
**Total magnetization**: 0.00 μB per atom

=====

x) A geometry-optimized Ca4TlNi structure. Source: Alexandria, functional GGA-PBE.

Cell lengths 9.1853, 9.1853, 9.1853 Å; angles 90.00, 90.00, 90.00 degrees
Last column: nearest neighbours and their distance in Å.
Space group F-43m (No. 216)
Inequivalent atoms, fractional coordinates:
Ca1 0.1246 0.1246 0.1246  6 Ca 3.24-3.26
Tl1 0.0000 0.0000 0.5000  12 Ca 3.81, 4 Ni 3.98
Ni1 0.2500 0.2500 0.7500  12 Ca 3.81, 4 Tl 3.98

Values from the calculation:
**Volume**: 775.0 Å³ per cell
**Total magnetization**: 0.05 μB per atom

=====

Which structure wins on stability? w) wins.

=====

w) A geometry-optimized CaTlZn2Ni structure. Source: Alexandria, functional GGA-PBE.

Cell lengths 4.9955, 4.9955, 6.0123 Å; angles 90.00, 90.00, 90.00 degrees
Last column: nearest neighbours and their distance in Å.
Space group P4/mmm (No. 123)
Inequivalent atoms, fractional coordinates:
Ca1 0.0000 0.0000 0.0000  2 Tl 3.01
Tl1 0.0000 0.0000 0.5000  4 Zn 2.50
Zn1 0.0000 0.5000 0.5000  2 Tl 2.50
Ni1 0.5000 0.5000 0.0000  4 Ca 3.53, 8 Zn 3.91

Values from the calculation:
**Volume**: 150.0 Å³ per cell
**Total magnetization**: 0.00 μB per atom

=====

x) A geometry-optimized CaTlZn2Ni structure. Source: Alexandria, functional GGA-PBE.

Cell lengths 4.7107, 4.7107, 4.9524 Å; angles 90.00, 90.00, 90.00 degrees
Last column: nearest neighbours and their distance in Å.
Space group P4/mmm (No. 123)
Inequivalent atoms, fractional coordinates:
Ca1 0.0000 0.0000 0.0000  4 Tl 3.33, 8 Zn 3.42
Tl1 0.5000 0.5000 0.0000  2 Ni 2.48
Zn1 0.0000 0.5000 0.5000  2 Ni 2.36
Ni1 0.5000 0.5000 0.5000  4 Zn 2.36, 2 Tl 2.48

Values from the calculation:
**Volume**: 109.9 Å³ per cell
**Total magnetization**: 0.00 μB per atom

=====

Which structure wins on stability? x) wins.

=====

w) A geometry-optimized CaVNi3 structure. Source: Alexandria, functional GGA-PBE.

Cell lengths 4.4360, 4.4360, 4.4360 Å; angles 90.00, 90.00, 90.00 degrees
Last column: nearest neighbours and their distance in Å.
Space group Pm-3m (No. 221)
Inequivalent atoms, fractional coordinates:
Ca1 0.0000 0.0000 0.0000  12 Ni 3.14
V1 0.5000 0.5000 0.5000  6 Ni 2.22
Ni1 0.0000 0.5000 0.5000  2 V 2.22

Values from the calculation:
**Volume**: 87.3 Å³ per cell
**Total magnetization**: 0.21 μB per atom

=====

x) A geometry-optimized CaVNi3 structure. Source: Alexandria, functional GGA-PBE.

Cell lengths 4.4761, 4.4761, 4.4761 Å; angles 90.00, 90.00, 90.00 degrees
Last column: nearest neighbours and their distance in Å.
Space group Pm-3m (No. 221)
Inequivalent atoms, fractional coordinates:
Ca1 0.0000 0.0000 0.0000  6 Ni 2.24
V1 0.5000 0.5000 0.5000  12 Ni 3.17
Ni1 0.0000 0.0000 0.5000  2 Ca 2.24

Values from the calculation:
**Volume**: 89.7 Å³ per cell
**Total magnetization**: 0.65 μB per atom

=====

Which structure wins on stability? w) wins.

=====

w) A geometry-optimized CaV3Ni structure. Source: Alexandria, functional GGA-PBE.

Cell lengths 4.2794, 4.2794, 4.2794 Å; angles 90.00, 90.00, 90.00 degrees
Last column: nearest neighbours and their distance in Å.
Space group Pm-3m (No. 221)
Inequivalent atoms, fractional coordinates:
Ca1 0.0000 0.0000 0.0000  6 V 2.14
V1 0.0000 0.0000 0.5000  2 Ca 2.14
Ni1 0.5000 0.5000 0.5000  12 V 3.03

Values from the calculation:
**Volume**: 78.4 Å³ per cell
**Total magnetization**: 0.08 μB per atom

=====

x) A geometry-optimized CaV3Ni structure. Source: Alexandria, functional GGA-PBE.

Cell lengths 4.5559, 4.5559, 4.5559 Å; angles 90.00, 90.00, 90.00 degrees
Last column: nearest neighbours and their distance in Å.
Space group Pm-3m (No. 221)
Inequivalent atoms, fractional coordinates:
Ca1 0.0000 0.0000 0.0000  12 V 3.22
V1 0.0000 0.5000 0.5000  2 Ni 2.28
Ni1 0.5000 0.5000 0.5000  6 V 2.28

Values from the calculation:
**Volume**: 94.6 Å³ per cell
**Total magnetization**: 0.74 μB per atom

=====

Which structure wins on stability? x) wins.

=====

w) A geometry-optimized CaVNi2 structure. Source: Alexandria, functional GGA-PBE.

Cell lengths 6.9634, 6.9634, 5.7241 Å; angles 90.00, 90.00, 90.00 degrees
Last column: nearest neighbours and their distance in Å.
Space group I-42d (No. 122)
Inequivalent atoms, fractional coordinates:
Ca1 0.0000 0.0000 0.0000  8 Ni 2.85-3.08, 2 V 2.86
V1 0.0000 0.0000 0.5000  4 Ni 2.32
Ni1 0.1936 0.2500 0.6250  2 V 2.32

Values from the calculation:
**Volume**: 277.6 Å³ per cell
**Total magnetization**: 0.42 μB per atom

=====

x) A geometry-optimized CaVNi2 structure. Source: Alexandria, functional GGA-PBE.

Cell lengths 3.0463, 3.0463, 6.7939 Å; angles 90.00, 90.00, 90.00 degrees
Last column: nearest neighbours and their distance in Å.
Space group P4/mmm (No. 123)
Inequivalent atoms, fractional coordinates:
Ca1 0.0000 0.0000 0.0000  4 Ca 3.05, 8 Ni 3.05, 2 V 3.40
V1 0.0000 0.0000 0.5000  8 Ni 2.48
Ni1 0.5000 0.5000 0.3182  1 Ni 2.47, 4 V 2.48

Values from the calculation:
**Volume**: 63.0 Å³ per cell
**Total magnetization**: 0.00 μB per atom

=====

y) A geometry-optimized CaVNi2 structure. Source: Alexandria, functional GGA-PBE.

Cell lengths 6.3032, 6.3032, 6.3032 Å; angles 90.00, 90.00, 90.00 degrees
Last column: nearest neighbours and their distance in Å.
Space group Fm-3m (No. 225)
Inequivalent atoms, fractional coordinates:
Ca1 0.0000 0.0000 0.0000  8 Ni 2.73
V1 0.0000 0.0000 0.5000  8 Ni 2.73
Ni1 0.2500 0.2500 0.2500  4 Ca 2.73, 4 V 2.73

Values from the calculation:
**Volume**: 250.4 Å³ per cell
**Total magnetization**: 0.52 μB per atom

=====

Which structure wins on stability? x) wins.

=====

w) A geometry-optimized Ca2VNi structure. Source: Alexandria, functional GGA-PBE.

Cell lengths 7.1669, 7.1669, 7.1669 Å; angles 90.00, 90.00, 90.00 degrees
Last column: nearest neighbours and their distance in Å.
Space group Fm-3m (No. 225)
Inequivalent atoms, fractional coordinates:
Ca1 0.2500 0.2500 0.2500  4 Ni 3.10, 4 V 3.10
V1 0.0000 0.0000 0.0000  8 Ca 3.10
Ni1 0.0000 0.0000 0.5000  8 Ca 3.10

Values from the calculation:
**Volume**: 368.1 Å³ per cell
**Total magnetization**: 1.15 μB per atom

=====

x) A geometry-optimized Ca2VNi structure. Source: Alexandria, functional GGA-PBE.

Cell lengths 8.1635, 8.1635, 5.9011 Å; angles 90.00, 90.00, 90.00 degrees
Last column: nearest neighbours and their distance in Å.
Space group I-42d (No. 122)
Inequivalent atoms, fractional coordinates:
Ca1 0.1892 0.2500 0.1250  2 Ni 2.66
V1 0.0000 0.0000 0.5000  2 Ni 2.95
Ni1 0.0000 0.0000 0.0000  4 Ca 2.66, 2 V 2.95

Values from the calculation:
**Volume**: 393.3 Å³ per cell
**Total magnetization**: 1.01 μB per atom

=====

Which structure wins on stability? w) wins.